An optimized crystal structure of Tl3P2Se4, computed with GGA-PBE.

The structure in extended XYZ format:
```
18
Lattice="9.242 0.034 1.715 1.473 7.500 2.228 0.441 -0.331 7.942" Properties=species:S:1:pos:R:3 pbc="T T T"
Tl 8.233 0.044 3.829
Tl 7.261 5.028 10.482
Tl 2.923 7.160 8.056
Tl 3.895 2.176 1.402
Tl 3.311 3.927 5.270
Tl 7.845 3.277 6.614
P 4.784 0.848 5.366
P 1.336 3.193 7.957
P 6.372 6.356 6.518
P 9.820 4.011 3.928
Se 4.936 6.677 4.828
Se 2.245 5.418 2.617
Se 6.220 0.526 7.056
Se 8.911 1.786 9.268
Se 1.242 2.012 3.123
Se 5.275 5.041 8.001
Se 9.914 5.192 8.762
Se 5.881 2.163 3.883
```

* E_form (uncorrected): -0.2523 eV per atom
* crystal system: monoclinic


An optimized crystal structure of Er3C2Br2, computed with GGA-PBE.

The structure in extended XYZ format:
```
7
Lattice="3.560 -0.008 0.001 -1.780 6.006 -0.077 -0.003 -1.016 7.273" Properties=species:S:1:pos:R:3 pbc="T T T"
Er 0.000 0.000 0.000
Er 1.777 3.031 1.426
Er 0.000 1.951 5.771
C 1.779 0.666 6.779
C -0.002 4.316 0.418
Br 1.781 3.908 4.436
Br -0.004 1.075 2.761
```

* E_form (uncorrected): -0.7624 eV per atom
* crystal system: triclinic


- Which of these has the lowest E_form (uncorrected)?
  Er3C2Br2


- Which of these has the lowest E_form (uncorrected)?
  Er3C2Br2